# 1
5
Lattice="-4.371 -3.208 -0.772 0.700 -2.153 4.987 -3.224 3.882 2.128" Properties=species:S:1:pos:R:3 comment="Mg3ScPd, optimized geometry, DFT PBE" spacegroup="Pm-3m (221)" total_magnetization_mub_per_atom=0.0000 polymorph_energy_ev_per_atom=1.4528 dft_energy_ev_per_atom=-2.077 ef_kcal_per_mol_atoms=27.32 pbc="T T T"
Pd -3.448 -0.739 3.172
Mg -2.186 -1.604 -0.386
Mg 0.350 -1.076 2.493
Mg -1.612 1.941 1.064
Sc 0.000 0.000 0.000

# 2
4
Lattice="-2.296 3.320 0.819 -1.450 0.613 3.807 1.529 3.040 2.322" Properties=species:S:1:pos:R:3 comment="CoCuP2, optimized geometry, DFT PBE" spacegroup="F-43m (216)" total_magnetization_mub_per_atom=0.0000 dft_energy_ev_per_atom=-5.061 ef_kcal_per_mol_atoms=10.24 pbc="T T T"
P -0.554 1.743 1.737
P 0.000 0.000 0.000
Co -1.108 3.487 3.474
Cu -1.662 5.230 5.211

# 3
5
Lattice="-1.358 2.498 2.600 -3.605 -0.890 -1.027 -0.066 -2.814 2.670" Properties=species:S:1:pos:R:3 comment="TiCO2F, optimized geometry, DFT PBE" spacegroup="P4/mmm (123)" total_magnetization_mub_per_atom=0.2000 dft_energy_ev_per_atom=-6.435 formation_energy_uncorrected_ev_per_atom=-0.654 pbc="T T T"
Ti 0.000 0.000 0.000
O -1.802 -0.445 -0.514
O -0.679 1.249 1.300
F -0.033 -1.407 1.335
C -2.514 -0.603 2.121